Entry 1:
# LiB3Pd | the Alexandria database | PBE-GGA | relaxed
# polymorph energy (0 for the lowest one)	579	meV/atom
# VASP energy	-3.63	eV per atom
# mass density	4.88	g/cm3
# SG	Pm-3m, No. 221
# calculated volume	49.6	Å³/cell
# DFT formation energy	1802	meV per atom
data_LiB3Pd
_chemical_formula_sum 'Li1 B3 Pd1'
_cell_length_a 3.674
_cell_length_b 3.674
_cell_length_c 3.674
_cell_angle_alpha 90.00
_cell_angle_beta 90.00
_cell_angle_gamma 90.00
_symmetry_space_group_name_H-M 'P 1'
_symmetry_Int_Tables_number 1
_symmetry_space_group_name_Hall 'P 1'
loop_
_atom_site_label
_atom_site_type_symbol
_atom_site_fract_x
_atom_site_fract_y
_atom_site_fract_z
Li1 Li 0.000 0.000 0.000
B1 B 0.000 0.000 0.500
B2 B 0.000 0.500 0.000
B3 B 0.500 0.000 0.000
Pd1 Pd 0.500 0.500 0.500

***

Entry 2:
# AcTb2Pm3Sm6 | the Alexandria database | PBE-GGA | relaxed
# VASP energy	-4.64	eV per atom
# mass density	7.55	g/cm3
# SG	C2/m, No. 12
# calculated volume	413.7	Å³/cell
# DFT formation energy	24	meV per atom
data_AcTb2Pm3Sm6
_chemical_formula_sum 'Ac1 Tb2 Pm3 Sm6'
_cell_length_a 6.322
_cell_length_b 6.322
_cell_length_c 12.131
_cell_angle_alpha 95.00
_cell_angle_beta 95.00
_cell_angle_gamma 119.97
_symmetry_space_group_name_H-M 'P 1'
_symmetry_Int_Tables_number 1
_symmetry_space_group_name_Hall 'P 1'
loop_
_atom_site_label
_atom_site_type_symbol
_atom_site_fract_x
_atom_site_fract_y
_atom_site_fract_z
Ac1 Ac 0.000 0.000 0.000
Tb1 Tb 0.333 0.667 0.000
Tb2 Tb 0.667 0.333 0.000
Pm1 Pm 0.167 0.833 0.500
Pm2 Pm 0.500 0.500 0.500
Pm3 Pm 0.833 0.167 0.500
Sm1 Sm 0.084 0.420 0.252
Sm2 Sm 0.252 0.252 0.748
Sm3 Sm 0.420 0.084 0.252
Sm4 Sm 0.580 0.916 0.748
Sm5 Sm 0.748 0.748 0.252
Sm6 Sm 0.916 0.580 0.748

***

Entry 3:
# CaAlVNi | the Alexandria database | PBE-GGA | relaxed
# polymorph energy (0 for the lowest one)	220	meV/atom
# VASP energy	-5.01	eV per atom
# mass density	3.94	g/cm3
# SG	Cm, No. 8
# calculated volume	74.5	Å³/cell
# DFT formation energy	154	meV per atom
data_CaAlVNi
_chemical_formula_sum 'Ca1 Al1 V1 Ni1'
_cell_length_a 4.693
_cell_length_b 4.693
_cell_length_c 5.626
_cell_angle_alpha 100.34
_cell_angle_beta 100.34
_cell_angle_gamma 37.76
_symmetry_space_group_name_H-M 'P 1'
_symmetry_Int_Tables_number 1
_symmetry_space_group_name_Hall 'P 1'
loop_
_atom_site_label
_atom_site_type_symbol
_atom_site_fract_x
_atom_site_fract_y
_atom_site_fract_z
Ca1 Ca 0.000 0.000 0.000
Al1 Al 0.473 0.473 0.475
V1 V 0.217 0.217 0.640
Ni1 Ni 0.751 0.751 0.316

***

Entry 4:
# ReIrF2 | the Alexandria database | PBE-GGA | relaxed
# polymorph energy (0 for the lowest one)	1475	meV/atom
# VASP energy	-5.31	eV per atom
# mass density	13.84	g/cm3
# raw formation energy	0.953	eV/atom
# SG	Fm-3m, No. 225
# calculated volume	50.0	Å³/cell
data_ReIrF2
_chemical_formula_sum 'Re1 Ir1 F2'
_cell_length_a 4.134
_cell_length_b 4.134
_cell_length_c 4.134
_cell_angle_alpha 60.00
_cell_angle_beta 60.00
_cell_angle_gamma 60.00
_symmetry_space_group_name_H-M 'P 1'
_symmetry_Int_Tables_number 1
_symmetry_space_group_name_Hall 'P 1'
loop_
_atom_site_label
_atom_site_type_symbol
_atom_site_fract_x
_atom_site_fract_y
_atom_site_fract_z
Re1 Re 0.000 0.000 0.000
Ir1 Ir 0.500 0.500 0.500
F1 F 0.250 0.250 0.250
F2 F 0.750 0.750 0.750

***

Entry 5:
# Tl2GeSb5 | the Alexandria database | PBE-GGA | relaxed
# VASP energy	-3.58	eV per atom
# mass density	7.02	g/cm3
# raw formation energy	0.167	eV/atom
# SG	I4mm, No. 107
# calculated volume	257.8	Å³/cell
data_Tl2GeSb5
_chemical_formula_sum 'Tl2 Ge1 Sb5'
_cell_length_a 7.282
_cell_length_b 7.282
_cell_length_c 7.282
_cell_angle_alpha 123.36
_cell_angle_beta 123.36
_cell_angle_gamma 84.27
_symmetry_space_group_name_H-M 'P 1'
_symmetry_Int_Tables_number 1
_symmetry_space_group_name_Hall 'P 1'
loop_
_atom_site_label
_atom_site_type_symbol
_atom_site_fract_x
_atom_site_fract_y
_atom_site_fract_z
Tl1 Tl 0.000 0.500 0.500
Tl2 Tl 0.500 0.000 0.500
Ge1 Ge 0.125 0.125 0.000
Sb1 Sb 0.381 0.381 0.000
Sb2 Sb 0.528 0.528 0.563
Sb3 Sb 0.528 0.965 0.000
Sb4 Sb 0.965 0.528 0.000
Sb5 Sb 0.965 0.965 0.437

***

Entry 6:
# AcYGaPt | the Alexandria database | PBE-GGA | relaxed
# VASP energy	-5.62	eV per atom
# mass density	9.39	g/cm3
# SG	F-43m, No. 216
# calculated volume	102.7	Å³/cell
# DFT formation energy	-705	meV per atom
data_AcYGaPt
_chemical_formula_sum 'Ac1 Y1 Ga1 Pt1'
_cell_length_a 5.256
_cell_length_b 5.256
_cell_length_c 5.256
_cell_angle_alpha 60.00
_cell_angle_beta 60.00
_cell_angle_gamma 60.00
_symmetry_space_group_name_H-M 'P 1'
_symmetry_Int_Tables_number 1
_symmetry_space_group_name_Hall 'P 1'
loop_
_atom_site_label
_atom_site_type_symbol
_atom_site_fract_x
_atom_site_fract_y
_atom_site_fract_z
Ac1 Ac 0.000 0.000 0.000
Y1 Y 0.500 0.500 0.500
Ga1 Ga 0.250 0.250 0.250
Pt1 Pt 0.750 0.750 0.750

***

Entry 7:
# LiAg2 | the Alexandria database | PBE-GGA | relaxed
# polymorph energy (0 for the lowest one)	103	meV/atom
# VASP energy	-2.60	eV per atom
# mass density	7.09	g/cm3
# SG	I4_1/amd, No. 141
# calculated volume	104.4	Å³/cell
# DFT formation energy	-58	meV per atom
data_LiAg2
_chemical_formula_sum 'Li2 Ag4'
_cell_length_a 13.144
_cell_length_b 13.144
_cell_length_c 13.144
_cell_angle_alpha 167.62
_cell_angle_beta 167.62
_cell_angle_gamma 17.54
_symmetry_space_group_name_H-M 'P 1'
_symmetry_Int_Tables_number 1
_symmetry_space_group_name_Hall 'P 1'
loop_
_atom_site_label
_atom_site_type_symbol
_atom_site_fract_x
_atom_site_fract_y
_atom_site_fract_z
Li1 Li 0.375 0.625 0.750
Li2 Li 0.625 0.375 0.250
Ag1 Ag 0.049 0.799 0.250
Ag2 Ag 0.201 0.951 0.250
Ag3 Ag 0.799 0.049 0.750
Ag4 Ag 0.951 0.201 0.750

***

Entry 8:
# Pm5YHo2 | the Alexandria database | PBE-GGA | relaxed
# polymorph energy (0 for the lowest one)	0	meV/atom
# VASP energy	-4.79	eV per atom
# mass density	6.96	g/cm3
# SG	Cmcm, No. 63
# calculated volume	545.7	Å³/cell
# DFT formation energy	133	meV per atom
data_Pm5YHo2
_chemical_formula_sum 'Pm10 Y2 Ho4'
_cell_length_a 6.599
_cell_length_b 6.599
_cell_length_c 16.319
_cell_angle_alpha 90.00
_cell_angle_beta 90.00
_cell_angle_gamma 129.84
_symmetry_space_group_name_H-M 'P 1'
_symmetry_Int_Tables_number 1
_symmetry_space_group_name_Hall 'P 1'
loop_
_atom_site_label
_atom_site_type_symbol
_atom_site_fract_x
_atom_site_fract_y
_atom_site_fract_z
Pm1 Pm 0.040 0.960 0.750
Pm2 Pm 0.120 0.880 0.050
Pm3 Pm 0.120 0.880 0.450
Pm4 Pm 0.426 0.574 0.093
Pm5 Pm 0.426 0.574 0.407
Pm6 Pm 0.574 0.426 0.593
Pm7 Pm 0.574 0.426 0.907
Pm8 Pm 0.880 0.120 0.550
Pm9 Pm 0.880 0.120 0.950
Pm10 Pm 0.960 0.040 0.250
Y1 Y 0.236 0.764 0.250
Y2 Y 0.764 0.236 0.750
Ho1 Ho 0.275 0.725 0.632
Ho2 Ho 0.275 0.725 0.868
Ho3 Ho 0.725 0.275 0.132
Ho4 Ho 0.725 0.275 0.368